No. 1
The following is a PBE calculation of a geometry-optimized Ni3Pt5Rh2 structure, from Alexandria.

## Properties
Its symmetry is Ibam, No. 72. For the energy relative to the elements, the calculation gives 345.8 meV/atom. The calculation puts the energy above the most stable polymorph in this dataset at 302 meV per atom.

Cell: 8.2470 8.2470 8.2470 Å, 104.30 87.18 143.34°
With the nearest neighbours (Å) after each atom.
Sites, in units of the cell vectors:
Ni (0.1461, 0.6434, 0.7895)  5 Pt 2.36-2.61
Ni (0.2500, 0.2500, 0.0000)  6 Pt 2.40-2.49, 2 Ni 2.59
Ni (0.3539, 0.1434, 0.4973)  5 Pt 2.36-2.61
Ni (0.6461, 0.8566, 0.5027)  5 Pt 2.36-2.61
Ni (0.7500, 0.7500, 0.0000)  6 Pt 2.40-2.49, 2 Ni 2.59
Ni (0.8539, 0.3566, 0.2105)  5 Pt 2.36-2.61
Pt (0.1618, 0.0886, 0.2504)  3 Ni 2.36-2.49
Pt (0.2500, 0.0133, 0.7633)  3 Ni 2.40-2.49, 3 Pt 2.59-2.66
Pt (0.2500, 0.4867, 0.2367)  3 Ni 2.40-2.49, 3 Pt 2.59-2.66
Pt (0.2500, 0.7500, 0.5000)  4 Pt 2.59-2.66, 4 Ni 2.61
Pt (0.3382, 0.5886, 0.9269)  3 Ni 2.36-2.49
Pt (0.6618, 0.4114, 0.0731)  3 Ni 2.36-2.49
Pt (0.7500, 0.2500, 0.5000)  4 Pt 2.59-2.66, 4 Ni 2.61
Pt (0.7500, 0.5133, 0.7633)  3 Ni 2.40-2.49, 3 Pt 2.59-2.66
Pt (0.7500, 0.9867, 0.2367)  3 Ni 2.40-2.49, 3 Pt 2.59-2.66
Pt (0.8382, 0.9114, 0.7496)  3 Ni 2.36-2.49
Rh (0.1913, 0.3733, 0.5646)  3 Ni 2.65-2.79, 6 Pt 2.80-2.97
Rh (0.3087, 0.8733, 0.1820)  3 Ni 2.65-2.79, 6 Pt 2.80-2.97
Rh (0.6913, 0.1267, 0.8180)  3 Ni 2.65-2.79, 6 Pt 2.80-2.97
Rh (0.8087, 0.6267, 0.4354)  3 Ni 2.65-2.79, 6 Pt 2.80-2.97

---

No. 2
The following is a PBE calculation of a geometry-optimized MnAg structure, from Alexandria.

## Properties
Its symmetry is I4/mmm, No. 139. For the energy relative to the elements, the calculation gives 713.1 meV/atom.

Cell: 9.5487 9.5487 3.1047 Å, 90.00 90.00 90.00°
With the nearest neighbours (Å) after each atom.
Sites, in units of the cell vectors:
Mn (0.2013, 0.2013, 0.0000)  2 Mn 2.03
Mn (0.2013, 0.7987, 0.0000)  2 Mn 2.03
Mn (0.2987, 0.2987, 0.5000)  2 Mn 2.03
Mn (0.2987, 0.7013, 0.5000)  2 Mn 2.03
Mn (0.7013, 0.2987, 0.5000)  2 Mn 2.03
Mn (0.7013, 0.7013, 0.5000)  2 Mn 2.03
Mn (0.7987, 0.2013, 0.0000)  2 Mn 2.03
Mn (0.7987, 0.7987, 0.0000)  2 Mn 2.03
Ag (0.0000, 0.3145, 0.5000)  6 Mn 2.70-2.86, 4 Ag 2.95
Ag (0.0000, 0.6855, 0.5000)  6 Mn 2.70-2.86, 4 Ag 2.95
Ag (0.1855, 0.5000, 0.0000)  6 Mn 2.70-2.86, 4 Ag 2.95
Ag (0.3145, 0.0000, 0.5000)  6 Mn 2.70-2.86, 4 Ag 2.95
Ag (0.5000, 0.1855, 0.0000)  6 Mn 2.70-2.86, 4 Ag 2.95
Ag (0.5000, 0.8145, 0.0000)  6 Mn 2.70-2.86, 4 Ag 2.95
Ag (0.6855, 0.0000, 0.5000)  6 Mn 2.70-2.86, 4 Ag 2.95
Ag (0.8145, 0.5000, 0.0000)  6 Mn 2.70-2.86, 4 Ag 2.95

---

no.,DOS(E_F) (states/eV/atom)
1,1.615
2,0.433